11
Lattice="4.8638 0.0000 0.0000 -2.4319 6.5591 0.0000 0.0000 0.0000 10.7935" Properties=species:S:1:pos:R:3 comment="La3Tm4Sn4 GGA-PBE relaxed" crystal_system=orthorhombic rho_kg_m3=7558 spacegroup="Amm2 (38)" ef_ev_per_atom=-0.5145 pbc="T T T"
La 0.0000 4.9871 3.4613
La 0.0000 4.9871 7.3323
La 0.0000 3.6189 0.0000
Tm 2.4319 2.1846 5.3968
Tm 2.4319 0.9120 0.0000
Tm 0.0000 1.1130 8.1142
Tm 0.0000 1.1130 2.6794
Sn 2.4319 2.8952 8.4246
Sn 2.4319 2.8952 2.3689
Sn 2.4319 6.2130 5.3968
Sn 2.4319 5.7920 0.0000

---

4
Lattice="-2.5671 -1.2763 2.0609 -0.3542 -2.7721 -2.1579 7.1780 -5.3149 5.6496" Properties=species:S:1:pos:R:3 comment="Ce2PmEu GGA-PBE relaxed" crystal_system=tetragonal rho_kg_m3=7275 spacegroup="P4/mmm (123)" ef_ev_per_atom=0.2018 pbc="T T T"
Eu 2.1284 -4.6817 2.7763
Ce 5.4525 -4.0373 4.2915
Ce 1.7255 -1.2776 1.3581
Pm -1.4606 -2.0242 -0.0485

---

6
Lattice="-1.3595 0.1650 3.3155 0.2816 -3.5641 0.2929 13.2736 1.4900 5.3686" Properties=species:S:1:pos:R:3 comment="Pm4ErAl GGA-PBE relaxed" crystal_system=tetragonal rho_kg_m3=6940 spacegroup="P4/mmm (123)" ef_ev_per_atom=-0.0988 pbc="T T T"
Pm 1.8061 -1.4363 2.7527
Pm 8.4529 0.9489 3.4188
Pm 4.8207 0.5411 1.9498
Pm 10.3896 -0.4728 6.2243
Er 0.0000 0.0000 0.0000
Al 6.0979 -0.9545 4.4885

---

4
Lattice="-0.6910 -5.6846 0.0184 -3.2315 -2.4784 4.0257 -5.0678 -2.2728 -1.3944" Properties=species:S:1:pos:R:3 comment="CsKCr2 GGA-PBE relaxed" crystal_system=cubic rho_kg_m3=3452 spacegroup="Fm-3m (225)" ef_ev_per_atom=1.4288 pbc="T T T"
Cs -4.4952 -5.2179 1.3249
Cr -2.2476 -2.6089 0.6624
Cr -6.7428 -7.8268 1.9873
K 0.0000 0.0000 0.0000

---

14
Lattice="7.0980 0.0000 0.0746 0.0000 5.8564 0.0000 -2.6849 0.0000 8.2686" Properties=species:S:1:pos:R:3 comment="SrUCuSe4 GGA-PBE relaxed" crystal_system=monoclinic rho_kg_m3=6789 spacegroup="P2_1/m (11)" e_form_raw_mev_per_atom=-1116 pbc="T T T"
Sr 2.7187 4.3923 7.7939
Sr 1.6944 1.4641 0.5493
U 4.0226 4.3923 3.6828
U 0.3905 1.4641 4.6605
Cu 0.9548 4.3923 2.6400
Cu 3.4582 1.4641 5.7033
Se -1.8135 2.9890 6.0259
Se 6.2266 0.0608 2.3174
Se 6.2266 2.8674 2.3174
Se -1.8135 5.7956 6.0259
Se 2.7744 4.3923 1.1177
Se 1.6387 1.4641 7.2256
Se 1.4257 4.3923 4.9644
Se 2.9874 1.4641 3.3789

---

4
Lattice="-2.8642 -2.4194 -1.6476 -3.9515 1.0487 0.2399 -2.0078 1.2001 -3.3616" Properties=species:S:1:pos:R:3 comment="ZnTc2B GGA-PBE relaxed" crystal_system=cubic rho_kg_m3=9307 spacegroup="Fm-3m (225)" ef_ev_per_atom=0.4392 pbc="T T T"
Zn -4.4118 -0.0853 -2.3847
B 0.0000 0.0000 0.0000
Tc -2.2059 -0.0427 -1.1923
Tc -6.6176 -0.1280 -3.5770

---

no.,calculated total energy (eV per atom)
1,-4.940
2,-6.521
3,-4.650
4,-3.871
5,-5.546
6,-6.732